<1>
{"formula": "K3YV", "functional": "PBE-GGA", "state": "relaxed", "vol_a3_per_cell": 269.1, "magnetic_moment_mub_per_atom": 1.265, "space_group": "Pm-3m", "cell": [[6.456, 0.000, 0.000], [0.000, 6.456, 0.000], [0.000, 0.000, 6.456]], "species": ["K", "K", "K", "Y", "V"], "frac_coords": [[0.000, 0.000, 0.500], [0.000, 0.500, 0.000], [0.500, 0.000, 0.000], [0.500, 0.500, 0.500], [0.000, 0.000, 0.000]]}

=====

<2>
{"formula": "K3YV", "functional": "PBE-GGA", "state": "relaxed", "vol_a3_per_cell": 327.5, "magnetic_moment_mub_per_atom": 1.406, "space_group": "Pm-3m", "cell": [[6.893, 0.000, 0.000], [0.000, 6.893, 0.000], [0.000, 0.000, 6.893]], "species": ["K", "K", "K", "Y", "V"], "frac_coords": [[0.000, 0.000, 0.500], [0.000, 0.500, 0.000], [0.500, 0.000, 0.000], [0.000, 0.000, 0.000], [0.500, 0.500, 0.500]]}

=====

Stability ranking, top and bottom: <1> is the most stable and <2> is the least stable.

=====

<1>
{"formula": "K2V2Zn", "functional": "PBE-GGA", "state": "relaxed", "vol_a3_per_cell": 135.0, "magnetic_moment_mub_per_atom": 0.000, "space_group": "I4/mmm", "cell": [[-1.676, 1.676, 12.014], [1.676, -1.676, 12.014], [1.676, 1.676, -12.014]], "species": ["K", "K", "V", "V", "Zn"], "frac_coords": [[0.113, 0.113, 0.000], [0.887, 0.887, 0.000], [0.250, 0.750, 0.500], [0.750, 0.250, 0.500], [0.500, 0.500, 0.000]]}

=====

<2>
{"formula": "K2V2Zn", "functional": "PBE-GGA", "state": "relaxed", "vol_a3_per_cell": 336.8, "magnetic_moment_mub_per_atom": 0.000, "space_group": "P4/mbm", "cell": [[10.410, 0.000, 0.000], [0.000, 10.410, 0.000], [0.000, 0.000, 3.108]], "species": ["K", "K", "K", "K", "V", "V", "V", "V", "Zn", "Zn"], "frac_coords": [[0.218, 0.282, 0.000], [0.282, 0.782, 0.000], [0.718, 0.218, 0.000], [0.782, 0.718, 0.000], [0.062, 0.562, 0.500], [0.438, 0.062, 0.500], [0.562, 0.938, 0.500], [0.938, 0.438, 0.500], [0.000, 0.000, 0.000], [0.500, 0.500, 0.000]]}

=====

Stability ranking, top and bottom: <1> is the most stable and <2> is the least stable.

=====

<1>
{"formula": "KZr2V", "functional": "PBE-GGA", "state": "relaxed", "vol_a3_per_cell": 94.4, "magnetic_moment_mub_per_atom": 0.829, "space_group": "Fm-3m", "cell": [[0.000, 3.614, 3.614], [3.614, 0.000, 3.614], [3.614, 3.614, 0.000]], "species": ["K", "Zr", "Zr", "V"], "frac_coords": [[0.000, 0.000, 0.000], [0.250, 0.250, 0.250], [0.750, 0.750, 0.750], [0.500, 0.500, 0.500]]}

=====

<2>
{"formula": "KZr2V", "functional": "PBE-GGA", "state": "relaxed", "vol_a3_per_cell": 314.4, "magnetic_moment_mub_per_atom": 0.000, "space_group": "I4_1/amd", "cell": [[-3.808, 3.808, 5.421], [3.808, -3.808, 5.421], [3.808, 3.808, -5.421]], "species": ["K", "K", "Zr", "Zr", "Zr", "Zr", "V", "V"], "frac_coords": [[0.375, 0.625, 0.750], [0.625, 0.375, 0.250], [0.000, 0.000, 0.000], [0.000, 0.000, 0.500], [0.000, 0.500, 0.000], [0.500, 0.000, 0.500], [0.125, 0.875, 0.250], [0.875, 0.125, 0.750]]}

=====

Stability ranking, top and bottom: <1> is the most stable and <2> is the least stable.

=====

<1>
{"formula": "K2ZrV", "functional": "PBE-GGA", "state": "relaxed", "vol_a3_per_cell": 386.2, "magnetic_moment_mub_per_atom": 0.761, "space_group": "I-42d", "cell": [[-6.384, 6.384, 2.369], [6.384, -6.384, 2.369], [6.384, 6.384, -2.369]], "species": ["K", "K", "K", "K", "Zr", "Zr", "V", "V"], "frac_coords": [[0.375, 0.020, 0.145], [0.770, 0.625, 0.645], [0.875, 0.230, 0.855], [0.980, 0.125, 0.355], [0.250, 0.750, 0.500], [0.500, 0.500, 0.000], [0.000, 0.000, 0.000], [0.750, 0.250, 0.500]]}

=====

<2>
{"formula": "K2ZrV", "functional": "PBE-GGA", "state": "relaxed", "vol_a3_per_cell": 137.4, "magnetic_moment_mub_per_atom": 0.493, "space_group": "Fm-3m", "cell": [[0.000, 4.096, 4.096], [4.096, 0.000, 4.096], [4.096, 4.096, 0.000]], "species": ["K", "K", "Zr", "V"], "frac_coords": [[0.250, 0.250, 0.250], [0.750, 0.750, 0.750], [0.000, 0.000, 0.000], [0.500, 0.500, 0.500]]}

=====

Stability ranking, top and bottom: <1> is the most stable and <2> is the least stable.

=====

<1>
{"formula": "KZr3V", "functional": "PBE-GGA", "state": "relaxed", "vol_a3_per_cell": 116.6, "magnetic_moment_mub_per_atom": 0.441, "space_group": "Pm-3m", "cell": [[4.885, 0.000, 0.000], [0.000, 4.885, 0.000], [0.000, 0.000, 4.885]], "species": ["K", "Zr", "Zr", "Zr", "V"], "frac_coords": [[0.000, 0.000, 0.000], [0.000, 0.000, 0.500], [0.000, 0.500, 0.000], [0.500, 0.000, 0.000], [0.500, 0.500, 0.500]]}

=====

<2>
{"formula": "KZr3V", "functional": "PBE-GGA", "state": "relaxed", "vol_a3_per_cell": 135.0, "magnetic_moment_mub_per_atom": 0.000, "space_group": "Pm-3m", "cell": [[5.130, 0.000, 0.000], [0.000, 5.130, 0.000], [0.000, 0.000, 5.130]], "species": ["K", "Zr", "Zr", "Zr", "V"], "frac_coords": [[0.000, 0.000, 0.000], [0.000, 0.500, 0.500], [0.500, 0.000, 0.500], [0.500, 0.500, 0.000], [0.500, 0.500, 0.500]]}

=====

Stability ranking, top and bottom: <2> is the most stable and <1> is the least stable.

=====

<1>
{"formula": "K2W", "functional": "PBE-GGA", "state": "relaxed", "vol_a3_per_cell": 82.9, "magnetic_moment_mub_per_atom": 0.043, "space_group": "P-3m1", "cell": [[3.049, 0.000, 0.000], [-1.524, 2.640, 0.000], [0.000, 0.000, 10.298]], "species": ["K", "K", "W"], "frac_coords": [[0.333, 0.667, 0.292], [0.667, 0.333, 0.708], [0.000, 0.000, 0.000]]}

=====

<2>
{"formula": "K2W", "functional": "PBE-GGA", "state": "relaxed", "vol_a3_per_cell": 236.3, "magnetic_moment_mub_per_atom": 1.583, "space_group": "Fd-3m", "cell": [[0.000, 4.907, 4.907], [4.907, 0.000, 4.907], [4.907, 4.907, 0.000]], "species": ["K", "K", "K", "K", "W", "W"], "frac_coords": [[0.000, 0.000, 0.000], [0.000, 0.000, 0.500], [0.000, 0.500, 0.000], [0.500, 0.000, 0.000], [0.375, 0.375, 0.375], [0.625, 0.625, 0.625]]}

=====

Stability ranking, top and bottom: <1> is the most stable and <2> is the least stable.

=====

<1>
{"formula": "K2W", "functional": "PBE-GGA", "state": "relaxed", "vol_a3_per_cell": 246.1, "magnetic_moment_mub_per_atom": 0.000, "space_group": "C2/m", "cell": [[6.788, -1.698, 0.000], [6.788, 1.698, 0.000], [-4.244, 0.000, 10.680]], "species": ["K", "K", "K", "K", "W", "W"], "frac_coords": [[0.012, 0.012, 0.170], [0.334, 0.334, 0.373], [0.666, 0.666, 0.627], [0.988, 0.988, 0.830], [0.273, 0.273, 0.942], [0.727, 0.727, 0.058]]}

=====

<2>
{"formula": "K2W", "functional": "PBE-GGA", "state": "relaxed", "vol_a3_per_cell": 262.4, "magnetic_moment_mub_per_atom": 1.771, "space_group": "P6_3/mmc", "cell": [[6.249, 0.000, 0.000], [-3.124, 5.411, 0.000], [0.000, 0.000, 7.760]], "species": ["K", "K", "K", "K", "W", "W"], "frac_coords": [[0.000, 0.000, 0.000], [0.000, 0.000, 0.500], [0.333, 0.667, 0.250], [0.667, 0.333, 0.750], [0.333, 0.667, 0.750], [0.667, 0.333, 0.250]]}

=====

Stability ranking, top and bottom: <1> is the most stable and <2> is the least stable.

=====

<1>
{"formula": "K2W", "functional": "PBE-GGA", "state": "relaxed", "vol_a3_per_cell": 249.2, "magnetic_moment_mub_per_atom": 0.000, "space_group": "Cm", "cell": [[6.894, -1.683, 0.000], [6.894, 1.683, 0.000], [-2.334, 0.000, 10.742]], "species": ["K", "K", "K", "K", "W", "W"], "frac_coords": [[0.000, 0.000, 0.000], [0.073, 0.073, 0.466], [0.354, 0.354, 0.667], [0.780, 0.780, 0.224], [0.233, 0.233, 0.916], [0.646, 0.646, 0.782]]}

=====

<2>
{"formula": "K2W", "functional": "PBE-GGA", "state": "relaxed", "vol_a3_per_cell": 86.9, "magnetic_moment_mub_per_atom": 0.000, "space_group": "I4/mmm", "cell": [[-1.463, 1.463, 10.149], [1.463, -1.463, 10.149], [1.463, 1.463, -10.149]], "species": ["K", "K", "W"], "frac_coords": [[0.141, 0.141, 0.000], [0.859, 0.859, 0.000], [0.500, 0.500, 0.000]]}

=====

<3>
{"formula": "K2W", "functional": "PBE-GGA", "state": "relaxed", "vol_a3_per_cell": 235.0, "magnetic_moment_mub_per_atom": 0.938, "space_group": "Pnnm", "cell": [[9.082, 0.000, 0.000], [0.000, 9.168, 0.000], [0.000, 0.000, 2.823]], "species": ["K", "K", "K", "K", "W", "W"], "frac_coords": [[0.193, 0.188, 0.000], [0.307, 0.688, 0.500], [0.693, 0.312, 0.500], [0.807, 0.812, 0.000], [0.000, 0.500, 0.000], [0.500, 0.000, 0.500]]}

=====

Stability ranking, top and bottom: <1> is the most stable and <3> is the least stable.

=====

<1>
{"formula": "K2W", "functional": "PBE-GGA", "state": "relaxed", "vol_a3_per_cell": 493.6, "magnetic_moment_mub_per_atom": 0.000, "space_group": "P6_3/mmc", "cell": [[7.657, 0.000, 0.000], [-3.829, 6.631, 0.000], [0.000, 0.000, 9.721]], "species": ["K", "K", "K", "K", "K", "K", "K", "K", "W", "W", "W", "W"], "frac_coords": [[0.000, 0.000, 0.000], [0.000, 0.000, 0.500], [0.188, 0.376, 0.250], [0.188, 0.812, 0.250], [0.376, 0.188, 0.750], [0.624, 0.812, 0.250], [0.812, 0.188, 0.750], [0.812, 0.624, 0.750], [0.333, 0.667, 0.641], [0.333, 0.667, 0.859], [0.667, 0.333, 0.141], [0.667, 0.333, 0.359]]}

=====

<2>
{"formula": "K2W", "functional": "PBE-GGA", "state": "relaxed", "vol_a3_per_cell": 122.3, "magnetic_moment_mub_per_atom": 0.926, "space_group": "P4/mmm", "cell": [[6.564, 0.000, 0.000], [0.000, 6.564, 0.000], [0.000, 0.000, 2.839]], "species": ["K", "K", "W"], "frac_coords": [[0.000, 0.500, 0.000], [0.500, 0.000, 0.000], [0.000, 0.000, 0.500]]}

=====

Stability ranking, top and bottom: <1> is the most stable and <2> is the least stable.

=====

<1>
{"formula": "K2W", "functional": "PBE-GGA", "state": "relaxed", "vol_a3_per_cell": 278.7, "magnetic_moment_mub_per_atom": 0.811, "space_group": "P-62m", "cell": [[10.731, 0.000, 0.000], [-5.366, 9.294, 0.000], [0.000, 0.000, 2.795]], "species": ["K", "K", "K", "K", "K", "K", "W", "W", "W"], "frac_coords": [[0.000, 0.324, 0.000], [0.000, 0.658, 0.500], [0.324, 0.000, 0.000], [0.342, 0.342, 0.500], [0.658, 0.000, 0.500], [0.676, 0.676, 0.000], [0.000, 0.000, 0.500], [0.333, 0.667, 0.000], [0.667, 0.333, 0.000]]}

=====

<2>
{"formula": "K2W", "functional": "PBE-GGA", "state": "relaxed", "vol_a3_per_cell": 527.2, "magnetic_moment_mub_per_atom": 1.767, "space_group": "Pnma", "cell": [[7.704, 0.000, 0.000], [0.000, 6.033, 0.000], [0.000, 0.000, 11.342]], "species": ["K", "K", "K", "K", "K", "K", "K", "K", "W", "W", "W", "W"], "frac_coords": [[0.054, 0.250, 0.211], [0.184, 0.250, 0.565], [0.316, 0.750, 0.065], [0.446, 0.750, 0.711], [0.554, 0.250, 0.289], [0.684, 0.250, 0.935], [0.816, 0.750, 0.435], [0.946, 0.750, 0.789], [0.195, 0.250, 0.890], [0.305, 0.750, 0.390], [0.695, 0.250, 0.610], [0.805, 0.750, 0.110]]}

=====

<3>
{"formula": "K2W", "functional": "PBE-GGA", "state": "relaxed", "vol_a3_per_cell": 227.2, "magnetic_moment_mub_per_atom": 0.000, "space_group": "C2/m", "cell": [[10.428, -1.468, 0.000], [10.428, 1.468, 0.000], [-2.916, 0.000, 7.420]], "species": ["K", "K", "K", "K", "W", "W"], "frac_coords": [[0.103, 0.103, 0.099], [0.161, 0.161, 0.655], [0.839, 0.839, 0.345], [0.897, 0.897, 0.901], [0.500, 0.500, 0.356], [0.500, 0.500, 0.644]]}

=====

<4>
{"formula": "K2W", "functional": "PBE-GGA", "state": "relaxed", "vol_a3_per_cell": 160.0, "magnetic_moment_mub_per_atom": 1.974, "space_group": "Fm-3m", "cell": [[0.000, 4.309, 4.309], [4.309, 0.000, 4.309], [4.309, 4.309, 0.000]], "species": ["K", "K", "W"], "frac_coords": [[0.250, 0.250, 0.250], [0.750, 0.750, 0.750], [0.000, 0.000, 0.000]]}

=====

Stability ranking, top and bottom: <3> is the most stable and <4> is the least stable.

=====

<1>
{"formula": "K2W", "functional": "PBE-GGA", "state": "relaxed", "vol_a3_per_cell": 179.9, "magnetic_moment_mub_per_atom": 0.250, "space_group": "Cmcm", "cell": [[1.357, -10.609, 0.000], [1.357, 10.609, 0.000], [0.000, 0.000, 6.246]], "species": ["K", "K", "K", "K", "W", "W"], "frac_coords": [[0.042, 0.958, 0.750], [0.290, 0.710, 0.250], [0.710, 0.290, 0.750], [0.958, 0.042, 0.250], [0.376, 0.624, 0.750], [0.624, 0.376, 0.250]]}

=====

<2>
{"formula": "K2W", "functional": "PBE-GGA", "state": "relaxed", "vol_a3_per_cell": 246.8, "magnetic_moment_mub_per_atom": 0.000, "space_group": "C2/m", "cell": [[7.495, -1.684, 0.000], [7.495, 1.684, 0.000], [-3.638, 0.000, 9.776]], "species": ["K", "K", "K", "K", "W", "W"], "frac_coords": [[0.040, 0.040, 0.197], [0.331, 0.331, 0.341], [0.669, 0.669, 0.659], [0.960, 0.960, 0.803], [0.302, 0.302, 0.986], [0.698, 0.698, 0.014]]}

=====

Stability ranking, top and bottom: <2> is the most stable and <1> is the least stable.

=====

<1>
{"formula": "K5W", "functional": "PBE-GGA", "state": "relaxed", "vol_a3_per_cell": 316.6, "magnetic_moment_mub_per_atom": 0.844, "space_group": "P-62m", "cell": [[7.431, 0.000, 0.000], [-3.715, 6.435, 0.000], [0.000, 0.000, 6.620]], "species": ["K", "K", "K", "K", "K", "W"], "frac_coords": [[0.000, 0.702, 0.000], [0.298, 0.298, 0.000], [0.333, 0.667, 0.500], [0.667, 0.333, 0.500], [0.702, 0.000, 0.000], [0.000, 0.000, 0.500]]}

=====

<2>
{"formula": "K5W", "functional": "PBE-GGA", "state": "relaxed", "vol_a3_per_cell": 341.3, "magnetic_moment_mub_per_atom": 0.867, "space_group": "C2/m", "cell": [[7.653, -2.364, 0.000], [7.653, 2.364, 0.000], [-3.507, 0.000, 9.430]], "species": ["K", "K", "K", "K", "K", "W"], "frac_coords": [[0.000, 0.000, 0.000], [0.343, 0.343, 0.217], [0.364, 0.364, 0.632], [0.636, 0.636, 0.368], [0.657, 0.657, 0.783], [0.000, 0.000, 0.500]]}

=====

Stability ranking, top and bottom: <2> is the most stable and <1> is the least stable.